ZrCuMo3: optimized geometry, PBE.

Cell and atoms, written as CIF:
```
data_ZrCuMo3
_symmetry_space_group_name_H-M 'P 1'
_symmetry_Int_Tables_number 1
_symmetry_space_group_name_Hall 'P 1'
_cell_length_a 4.783
_cell_length_b 4.783
_cell_length_c 4.783
_cell_angle_alpha 90.00
_cell_angle_beta 90.00
_cell_angle_gamma 90.00
loop_
_atom_site_label
_atom_site_type_symbol
_atom_site_fract_x
_atom_site_fract_y
_atom_site_fract_z
Cu1 Cu 0.500 0.500 0.500
Mo1 Mo 0.500 0.000 0.000
Mo2 Mo 0.000 0.000 0.500
Mo3 Mo 0.000 0.500 0.000
Zr1 Zr 0.000 0.000 0.000
```

Calculated values
Final energy (eV per atom): -6.808
ΔH_f (0 K) (eV per atom): 2.219
Energy above the most stable polymorph in this dataset (meV/atom): 942
Volume (Å³/atom): 21.88